The following is a DFT calculation (PBE-GGA) of crystalline BeCdCu2 at its relaxed geometry.

a b c (Å): 8.632 8.632 8.632
angles (deg): 18.27 18.27 18.27
Atoms (fractional coordinates):
Be: 0.512 0.512 0.512
Cu: 0.245 0.245 0.245
Cu: 0.991 0.991 0.991
Cd: 0.752 0.752 0.752

D(E_F): 1.89 states/eV/f.u.
space group: R3m, No. 160
DFT formation energy: 0.263 eV/atom